A plane-wave DFT calculation with PBE was carried out for a relaxed structure of HoMg9Ag2.

## Properties
As for the formation energy: -1.05 eV/f.u. The volume is 536.1 Å³/cell. The density of states at the Fermi level is 9.1 states/eV per cell. The calculation puts the electronic total energy at -51.36 eV/cell. Its symmetry is I4_1/amd (141).

Structure (CIF):
```
data_HoMg9Ag2
_cell_length_a 7.5524
_cell_length_b 9.2326
_cell_length_c 9.2326
_cell_angle_alpha 80.37
_cell_angle_beta 65.86
_cell_angle_gamma 65.86
_space_group_name_H-M_alt 'P 1'
_space_group_IT_number 1
_space_group_name_Hall 'P 1'
loop_
_atom_site_label
_atom_site_fract_x
_atom_site_fract_y
_atom_site_fract_z
Mg1 0.7500 0.5000 0.5000
Ag1 0.8750 0.2500 0.7500
Mg2 0.6063 0.3200 0.0771
Mg3 0.0737 0.3200 0.9229
Mg4 0.6763 0.1800 0.5771
Mg5 0.0000 0.0000 0.0000
Mg6 0.4334 0.8200 0.4229
Mg7 0.1437 0.4229 0.1800
Ag2 0.8750 0.7500 0.2500
Mg8 0.6763 0.5771 0.1800
Mg9 0.3166 0.0771 0.6800
Mg10 0.0034 0.9229 0.6800
Mg11 0.4334 0.4229 0.8200
Mg12 0.0737 0.9229 0.3200
Mg13 0.3166 0.6800 0.0771
Mg14 0.0034 0.6800 0.9229
Mg15 0.7466 0.8200 0.5771
Ho1 0.5000 0.0000 0.0000
Ag3 0.8750 0.2500 0.2500
Mg16 0.6063 0.0771 0.3200
Mg17 0.1437 0.1800 0.4229
Ho2 0.2500 0.5000 0.5000
Mg18 0.7466 0.5771 0.8200
Ag4 0.3750 0.7500 0.7500
```